# SrCoNF2, relaxed, DFT PBE with a Hubbard U
data_SrCoNF2
_chemical_formula_sum 'Sr1 Co1 N1 F2'
_cell_length_a 4.180
_cell_length_b 4.180
_cell_length_c 3.769
_cell_angle_alpha 90.00
_cell_angle_beta 90.00
_cell_angle_gamma 90.00
_symmetry_space_group_name_H-M 'P 4/m m m'
_symmetry_Int_Tables_number 123
_symmetry_space_group_name_Hall '-P 4 2'
loop_
_atom_site_label
_atom_site_type_symbol
_atom_site_fract_x
_atom_site_fract_y
_atom_site_fract_z
Sr1 Sr 0.000 0.000 0.000
Co1 Co 0.500 0.500 0.500
N1 N 0.500 0.500 0.000
F1 F 0.000 0.500 0.500
# D(E_F): 0.38 states/eV per cell
# Distance to the lowest polymorph of the same formula: 0.0 meV per atom